First-principles (PBE-GGA) data for an optimized crystal structure of InAgOs2, as listed in Alexandria via LeMat-Bulk.

## Properties
crystal system = trigonal
space-group type = R-3m (166)
magnetization = 0.00 μB per formula unit
electronic total energy = -6.299 eV per atom
ΔH_f (0 K) = 0.713 eV per atom

Structure (CIF):
```
data_InAgOs2
_cell_length_a 9.4377
_cell_length_b 9.4377
_cell_length_c 9.4377
_cell_angle_alpha 17.44
_cell_angle_beta 17.44
_cell_angle_gamma 17.44
_symmetry_space_group_name_H-M 'P 1'
_symmetry_Int_Tables_number 1
loop_
_symmetry_equiv_pos_as_xyz
'x,y,z'
loop_
_atom_site_label
_atom_site_type_symbol
_atom_site_fract_x
_atom_site_fract_y
_atom_site_fract_z
Os1 Os 0.0012 0.0012 0.0012
Os2 Os 0.4988 0.4988 0.4988
Ag1 Ag 0.2500 0.2500 0.2500
In1 In 0.7500 0.7500 0.7500
```

First-principles (PBE-GGA) data for an optimized crystal structure of In2AgOs, as listed in Alexandria via LeMat-Bulk.

## Properties
crystal system = tetragonal
space-group type = P4mm (99)
magnetization = 0.00 μB per formula unit
electronic total energy = -4.424 eV per atom
ΔH_f (0 K) = 0.466 eV per atom

Structure (CIF):
```
data_In2AgOs
_cell_length_a 3.6537
_cell_length_b 3.6537
_cell_length_c 5.7529
_cell_angle_alpha 90.00
_cell_angle_beta 90.00
_cell_angle_gamma 90.00
_symmetry_space_group_name_H-M 'P 1'
_symmetry_Int_Tables_number 1
loop_
_symmetry_equiv_pos_as_xyz
'x,y,z'
loop_
_atom_site_label
_atom_site_type_symbol
_atom_site_fract_x
_atom_site_fract_y
_atom_site_fract_z
Os1 Os 0.0000 0.0000 0.4762
Ag1 Ag 0.5000 0.5000 0.7617
In1 In 0.0000 0.0000 0.9752
In2 In 0.5000 0.5000 0.2869
```

First-principles (PBE-GGA) data for an optimized crystal structure of In2AgOs, as listed in Alexandria via LeMat-Bulk.

## Properties
crystal system = orthorhombic
space-group type = Cmm2 (35)
magnetization = 0.22 μB per formula unit
electronic total energy = -4.300 eV per atom
ΔH_f (0 K) = 0.589 eV per atom

Structure (CIF):
```
data_In2AgOs
_cell_length_a 2.8925
_cell_length_b 2.8925
_cell_length_c 10.9757
_cell_angle_alpha 90.00
_cell_angle_beta 90.00
_cell_angle_gamma 117.27
_symmetry_space_group_name_H-M 'P 1'
_symmetry_Int_Tables_number 1
loop_
_symmetry_equiv_pos_as_xyz
'x,y,z'
loop_
_atom_site_label
_atom_site_type_symbol
_atom_site_fract_x
_atom_site_fract_y
_atom_site_fract_z
Os1 Os 0.0000 0.0000 0.5100
Ag1 Ag 0.5000 0.5000 0.7282
In1 In 0.0000 0.0000 0.9716
In2 In 0.5000 0.5000 0.2902
```

Please write out number 3 again, unchanged.
First-principles (PBE-GGA) data for an optimized crystal structure of In2AgOs, as listed in Alexandria via LeMat-Bulk.

## Properties
crystal system = orthorhombic
space-group type = Cmm2 (35)
magnetization = 0.22 μB per formula unit
electronic total energy = -4.300 eV per atom
ΔH_f (0 K) = 0.589 eV per atom

Structure (CIF):
```
data_In2AgOs
_cell_length_a 2.8925
_cell_length_b 2.8925
_cell_length_c 10.9757
_cell_angle_alpha 90.00
_cell_angle_beta 90.00
_cell_angle_gamma 117.27
_symmetry_space_group_name_H-M 'P 1'
_symmetry_Int_Tables_number 1
loop_
_symmetry_equiv_pos_as_xyz
'x,y,z'
loop_
_atom_site_label
_atom_site_type_symbol
_atom_site_fract_x
_atom_site_fract_y
_atom_site_fract_z
Os1 Os 0.0000 0.0000 0.5100
Ag1 Ag 0.5000 0.5000 0.7282
In1 In 0.0000 0.0000 0.9716
In2 In 0.5000 0.5000 0.2902
```

Q: Which value of electronic total energy does entry 1 give?
A: -6.299 eV per atom